A relaxed MgCr2Mo crystal. Source: Alexandria, functional GGA-PBE.

Results
* DOS at the Fermi energy: 14.6 states/eV per cell
* final energy: -27.85 eV/f.u.

```
data_MgCr2Mo
_symmetry_space_group_name_H-M 'I -4 2 d'
_symmetry_Int_Tables_number 122
_symmetry_space_group_name_Hall 'I -4 2bw'
_cell_length_a 6.884
_cell_length_b 6.884
_cell_length_c 5.314
_cell_angle_alpha 90.00
_cell_angle_beta 90.00
_cell_angle_gamma 90.00
loop_
_atom_site_label
_atom_site_fract_x
_atom_site_fract_y
_atom_site_fract_z
Mg1 0.000 0.000 0.000
Cr1 0.215 0.250 0.625
Mo1 0.000 0.000 0.500
```

***

A relaxed MgCrMo2 crystal. Source: Alexandria, functional GGA-PBE.

Results
* DOS at the Fermi energy: 5.6 states/eV per cell
* final energy: -31.68 eV/f.u.

```
data_MgCrMo2
_symmetry_space_group_name_H-M 'I m m m'
_symmetry_Int_Tables_number 71
_symmetry_space_group_name_Hall '-I 2 2'
_cell_length_a 3.095
_cell_length_b 4.499
_cell_length_c 8.813
_cell_angle_alpha 90.00
_cell_angle_beta 90.00
_cell_angle_gamma 90.00
loop_
_atom_site_label
_atom_site_fract_x
_atom_site_fract_y
_atom_site_fract_z
Mg1 0.000 0.000 0.000
Cr1 0.000 0.000 0.500
Mo1 0.000 0.500 0.227
```

***

Which value of DOS at the Fermi energy does entry 1 give? 14.6 states/eV per cell